No. 1
VASP calculation (PBE) on PrCoP after structural relaxation.

Results
Calculated formation energy (eV per atom): -0.924
Spin magnetization (μB per cell): 1.8

Cell lengths 3.880, 3.880, 7.958 Å; angles 90.00, 90.00, 90.00 degrees
Sites, in units of the cell vectors:
1 Pr 0.000 0.500 0.295
2 Pr 0.500 0.000 0.705
3 Co 0.000 0.000 0.000
4 Co 0.500 0.500 0.000
5 P 0.000 0.500 0.851
6 P 0.500 0.000 0.149

---

No. 2
VASP calculation (PBE) on Pr2Co5P4 after structural relaxation.

Results
Calculated formation energy (eV per atom): -0.785
Spin magnetization (μB per cell): 1.2

Cell lengths 5.284, 5.509, 6.918 Å; angles 79.45, 67.55, 61.34 degrees
Sites, in units of the cell vectors:
1 Pr 0.860 0.000 0.279
2 Pr 0.140 0.000 0.721
3 Co 0.500 0.000 0.000
4 Co 0.000 0.500 0.000
5 Co 0.500 0.500 0.000
6 Co 0.250 0.500 0.500
7 Co 0.750 0.500 0.500
8 P 0.470 0.317 0.743
9 P 0.530 0.683 0.257
10 P 0.213 0.317 0.257
11 P 0.787 0.683 0.743

---

No. 3
VASP calculation (PBE) on PrCo4P4 after structural relaxation.

Results
Calculated formation energy (eV per atom): -0.643
Spin magnetization (μB per cell): 0.0

Cell lengths 4.370, 7.633, 7.633 Å; angles 90.00, 90.00, 90.00 degrees
Sites, in units of the cell vectors:
1 Pr 0.000 0.000 0.000
2 Pr 0.500 0.500 0.500
3 Co 0.500 0.381 0.882
4 Co 0.000 0.618 0.881
5 Co 0.500 0.619 0.118
6 Co 0.000 0.119 0.618
7 Co 0.500 0.882 0.619
8 Co 0.000 0.881 0.382
9 Co 0.000 0.382 0.119
10 Co 0.500 0.118 0.381
11 P 0.500 0.841 0.308
12 P 0.500 0.159 0.692
13 P 0.000 0.808 0.659
14 P 0.000 0.341 0.808
15 P 0.000 0.659 0.192
16 P 0.500 0.308 0.159
17 P 0.500 0.692 0.841
18 P 0.000 0.192 0.341

---

No. 4
VASP calculation (PBE) on PrCo5P2 after structural relaxation.

Results
Calculated formation energy (eV per atom): -0.578
Spin magnetization (μB per cell): 0.0

Cell lengths 3.625, 5.812, 5.812 Å; angles 67.01, 71.83, 71.83 degrees
Sites, in units of the cell vectors:
1 Pr 0.000 0.000 0.000
2 Co 0.000 0.500 0.500
3 Co 0.653 0.537 0.158
4 Co 0.347 0.463 0.842
5 Co 0.347 0.842 0.463
6 Co 0.653 0.158 0.537
7 P 0.761 0.739 0.739
8 P 0.239 0.261 0.261

---

No. 5
VASP calculation (PBE) on PrCoP2Rh2 after structural relaxation.

Results
Calculated formation energy (eV per atom): -0.465
Spin magnetization (μB per cell): 0.0

Cell lengths 4.281, 4.281, 5.487 Å; angles 90.00, 90.00, 90.00 degrees
Sites, in units of the cell vectors:
1 Pr 0.000 0.000 0.500
2 Co 0.000 0.000 0.000
3 P 0.500 0.000 0.000
4 P 0.000 0.500 0.000
5 Rh 0.500 0.500 0.752
6 Rh 0.500 0.500 0.248

---

No. 6
VASP calculation (PBE) on PrCoP2Ru after structural relaxation.

Results
Calculated formation energy (eV per atom): -0.965
Spin magnetization (μB per cell): 0.0

Cell lengths 3.857, 3.857, 6.226 Å; angles 108.04, 108.04, 90.00 degrees
Sites, in units of the cell vectors:
1 Pr 0.000 0.000 0.000
2 Co 0.750 0.250 0.500
3 P 0.640 0.640 0.281
4 P 0.360 0.360 0.719
5 Ru 0.250 0.750 0.500

---

No. 7
VASP calculation (PBE) on PrCoTcP2 after structural relaxation.

Results
Calculated formation energy (eV per atom): -0.931
Spin magnetization (μB per cell): 0.0

Cell lengths 3.942, 3.942, 6.054 Å; angles 109.00, 109.00, 90.00 degrees
Sites, in units of the cell vectors:
1 Pr 0.000 0.000 0.000
2 Co 0.250 0.750 0.500
3 Tc 0.750 0.250 0.500
4 P 0.640 0.640 0.281
5 P 0.360 0.360 0.719

---

No. 8
VASP calculation (PBE) on PrTiCoP2 after structural relaxation.

Results
Calculated formation energy (eV per atom): -1.012
Spin magnetization (μB per cell): 0.0

Cell lengths 3.852, 3.852, 6.450 Å; angles 107.37, 107.37, 90.00 degrees
Sites, in units of the cell vectors:
1 Pr 0.000 0.000 0.000
2 Ti 0.250 0.750 0.500
3 Co 0.750 0.250 0.500
4 P 0.631 0.631 0.262
5 P 0.369 0.369 0.738